1.
Compound: CsSr4Li3Cl12
Source: Alexandria via LeMat-Bulk
Functional: PBE-GGA
Structure: relaxed

The calculation puts the uncorrected formation energy at -2182 meV/atom. The crystal system is cubic. Its total energy is -3.957 eV/atom.

It has space group Im-3 (No. 204), with a = 10.5799 Å, b = 10.5799 Å, c = 10.5799 Å, α = 90.00°, β = 90.00° and γ = 90.00°. Symmetry generates all atoms from Cs at (0.0000, 0.0000, 0.0000), Sr at (0.2500, 0.2500, 0.2500), Li at (0.0000, 0.0000, 0.5000) and Cl at (0.0000, 0.1634, 0.3233).


2.
Compound: OsRuBrN2
Source: Alexandria via LeMat-Bulk
Functional: PBE-GGA
Structure: relaxed

The calculation puts the uncorrected formation energy at 924 meV/atom. The crystal system is tetragonal. Its total energy is -6.842 eV/atom.

It has space group P4/mmm (No. 123), with a = 3.7545 Å, b = 3.7545 Å, c = 5.6135 Å, α = 90.00°, β = 90.00° and γ = 90.00°. Symmetry generates all atoms from Os at (0.0000, 0.0000, 0.0000), Ru at (0.0000, 0.0000, 0.5000), Br at (0.5000, 0.5000, 0.5000) and N at (0.0000, 0.5000, 0.0000).


3.
Compound: Ac5Tl4Cu
Source: Alexandria via LeMat-Bulk
Functional: PBE-GGA
Structure: relaxed

The crystal system is tetragonal. The energy relative to the lowest polymorph listed for this composition comes out at 0.000 eV/atom. Its formation enthalpy at 0 K is -0.31 eV per atom. Its total energy is -3.716 eV/atom.

It has space group P4/mmm (No. 123), with a = 3.9270 Å, b = 3.9270 Å, c = 21.8575 Å, α = 90.00°, β = 90.00° and γ = 90.00°. Symmetry generates all atoms from Ac at (0.0000, 0.0000, 0.0000), Ac at (0.0000, 0.0000, 0.2084), Ac at (0.0000, 0.0000, 0.4165), Tl at (0.5000, 0.5000, 0.1048), Tl at (0.5000, 0.5000, 0.3135) and Cu at (0.5000, 0.5000, 0.5000).


4.
Compound: CaPdPb
Source: Alexandria via LeMat-Bulk
Functional: PBE-GGA
Structure: relaxed

The crystal system is tetragonal. Its formation enthalpy at 0 K is -0.49 eV per atom. Its total energy is -4.120 eV/atom.

It has space group I4mm (No. 107), with a = 3.7300 Å, b = 3.7300 Å, c = 10.3872 Å, α = 90.00°, β = 90.00° and γ = 90.00°. Symmetry generates all atoms from Ca at (0.0000, 0.0000, 0.0000), Pd at (0.0000, 0.0000, 0.3236) and Pb at (0.0000, 0.0000, 0.6977).


5.
Compound: Mn3As
Source: Alexandria via LeMat-Bulk
Functional: PBE-GGA
Structure: relaxed

The crystal system is orthorhombic. Its formation enthalpy at 0 K is -0.13 eV per atom. Its total energy is -8.167 eV/atom.

It has space group Cmcm (No. 63), with a = 3.6808 Å, b = 15.3738 Å, c = 3.6552 Å, α = 90.00°, β = 90.00° and γ = 90.00°. Symmetry generates all atoms from Mn at (0.0000, 0.0489, 0.2500), Mn at (0.0000, 0.1796, 0.7500), Mn at (0.0000, 0.4478, 0.2500) and As at (0.0000, 0.3418, 0.7500).


6.
Compound: SiSb3N
Source: Alexandria via LeMat-Bulk
Functional: PBE-GGA
Structure: relaxed

The calculation puts the uncorrected formation energy at 768 meV/atom. The crystal system is cubic. The energy relative to the lowest polymorph listed for this composition comes out at 0.000 eV/atom. Its total energy is -4.456 eV/atom.

It has space group Pm-3m (No. 221), with a = 4.7401 Å, b = 4.7401 Å, c = 4.7401 Å, α = 90.00°, β = 90.00° and γ = 90.00°. Symmetry generates all atoms from Si at (0.0000, 0.0000, 0.0000), Sb at (0.0000, 0.5000, 0.5000) and N at (0.5000, 0.5000, 0.5000).


7.
Compound: Rb4PmHo3Te8
Source: Alexandria via LeMat-Bulk
Functional: PBE-GGA
Structure: relaxed

The calculation puts the uncorrected formation energy at -1383 meV/atom. The crystal system is trigonal. Its total energy is -4.351 eV/atom.

It has space group R-3m (No. 166, hexagonal axes), with a = 9.0798 Å, b = 9.0798 Å, c = 25.6689 Å, α = 90.00°, β = 90.00° and γ = 120.00°. Symmetry generates all atoms from Rb at (0.0000, 0.0000, 0.0000), Rb at (0.0000, 0.5000, 0.0000), Pm at (0.0000, 0.0000, 0.5000), Ho at (0.0000, 0.5000, 0.5000), Te at (0.0000, 0.0000, 0.2325) and Te at (0.0061, 0.5031, 0.7666).


8.
Compound: TaSe2F
Source: Alexandria via LeMat-Bulk
Functional: PBE-GGA
Structure: relaxed

The calculation puts the uncorrected formation energy at -590 meV/atom. The crystal system is tetragonal. The energy relative to the lowest polymorph listed for this composition comes out at 0.698 eV/atom. Its total energy is -5.764 eV/atom.

It has space group I-42d (No. 122), with a = 6.2382 Å, b = 6.2382 Å, c = 10.0027 Å, α = 90.00°, β = 90.00° and γ = 90.00°. Symmetry generates all atoms from Ta at (0.0000, 0.0000, 0.0000), Se at (0.2243, 0.2500, 0.1250) and F at (0.0000, 0.0000, 0.5000).